Record 1
Cs3UPb2S6 | GGA-PBE | optimized geometry

Results
* raw total energy: -118.551 eV per cell
* volume: 762.6 Å³ per cell

Unit cell a=7.4603 b=12.8785 c=8.3095 alpha=90.00 beta=107.22 gamma=90.00
Last column: nearest neighbours and their distance in Å.
Space group C2/m (No. 12)
One atom of each set of equivalent atoms:
Cs 0.0000 0.0000 0.0000 (multiplicity 2)  6 S 3.44-3.70
Cs 0.0000 0.3237 0.0000 (multiplicity 4)  6 S 3.45-3.64
U 0.0000 0.5000 0.5000 (multiplicity 2)  6 S 2.66-2.67
Pb 0.0000 0.1657 0.5000 (multiplicity 4)  6 S 3.01-3.02
S 0.2101 0.3512 0.6848 (multiplicity 8)  1 U 2.66
S 0.2327 0.5000 0.3108 (multiplicity 4)  1 U 2.67

***

Record 2
K6Au2Cl | GGA-PBE | optimized geometry

Results
* raw total energy: -59.256 eV per cell
* volume: 1340.2 Å³ per cell

Unit cell a=8.1109 b=8.1109 c=23.5239 alpha=90.00 beta=90.00 gamma=120.00
Last column: nearest neighbours and their distance in Å.
Space group R-3 (No. 148, hexagonal axes)
One atom of each set of equivalent atoms:
K 0.0155 0.3157 0.0840 (multiplicity 18)  1 Cl 3.19, 2 Au 3.31-3.40
Au 0.0000 0.0000 0.1818 (multiplicity 6)  6 K 3.31-3.40
Cl 0.0000 0.0000 0.0000 (multiplicity 3)  6 K 3.19

***

Record 3
TaZn3As | GGA-PBE | optimized geometry

Results
* raw total energy: -14.172 eV per cell
* ΔH_f (0 K): 119 kJ per mole of atoms
* relative energy among the computed polymorphs: 104.0 meV/atom
* volume: 124.9 Å³ per cell

Unit cell a=4.9987 b=4.9987 c=4.9987 alpha=90.00 beta=90.00 gamma=90.00
Last column: nearest neighbours and their distance in Å.
Space group Pm-3m (No. 221)
One atom of each set of equivalent atoms:
Ta 0.0000 0.0000 0.0000 (multiplicity 1)  6 Zn 2.50
Zn 0.0000 0.0000 0.5000 (multiplicity 3)  2 Ta 2.50
As 0.5000 0.5000 0.5000 (multiplicity 1)  12 Zn 3.53